# Zn2Pd3Pt, relaxed, DFT PBE
# Total moment in μB per formula unit: 0.0
# Energy relative to the lowest polymorph listed for this composition in meV per atom: 21
# Crystal system: orthorhombic
data_Zn2Pd3Pt
_chemical_formula_sum 'Zn8 Pd12 Pt4'
_cell_length_a 5.3594
_cell_length_b 13.1616
_cell_length_c 5.3552
_cell_angle_alpha 90.00
_cell_angle_beta 90.00
_cell_angle_gamma 90.00
_symmetry_space_group_name_H-M 'I b a m'
_symmetry_Int_Tables_number 72
_symmetry_space_group_name_Hall '-I 2 2c'
loop_
_atom_site_label
_atom_site_type_symbol
_atom_site_fract_x
_atom_site_fract_y
_atom_site_fract_z
_atom_site_occupancy
Zn1 Zn 0.2479 0.1420 0.0000 1
Pd1 Pd 0.0000 0.0000 0.2500 1
Pd2 Pd 0.2483 0.3317 0.0000 1
Pt1 Pt 0.0000 0.5000 0.2500 1